! KTaMnO4, optimized geometry, DFT PBE with a Hubbard U; values from VASP
&SYSTEM
  ibrav = 0, nat = 14, ntyp = 4
/
ATOMIC_SPECIES
K 39.10 K.upf
Ta 180.95 Ta.upf
Mn 54.94 Mn.upf
O 16.00 O.upf
ATOMIC_POSITIONS crystal
K 0.204 0.250 0.441
K 0.796 0.750 0.559
Ta 0.231 0.750 0.176
Ta 0.769 0.250 0.824
Mn 0.369 0.250 0.010
Mn 0.631 0.750 0.990
O 0.027 0.250 0.032
O 0.136 0.750 0.391
O 0.447 0.525 0.174
O 0.447 0.975 0.174
O 0.553 0.025 0.826
O 0.553 0.475 0.826
O 0.864 0.250 0.609
O 0.973 0.750 0.968
CELL_PARAMETERS angstrom
5.880 0.000 0.000
0.000 6.244 0.000
-1.867 0.000 7.228
! * total energy: -111.3 eV per cell
! * total magnetic moment: 10.00 Bohr magnetons per cell
! * symmetry: No. 11